Entry from Alexandria via LeMat-Bulk: an optimized crystal structure of BaScPb2 (GGA-PBE).

Output
- ΔH_f (0 K): -0.387 eV/atom
- E_tot: -4.304 eV/atom
- Spin magnetization: 0.0000 μB/atom

Unit cell a=3.6264 b=3.6264 c=9.3432 alpha=90.00 beta=90.00 gamma=90.00
Last column: nearest neighbours and their distance in Å.
Element x y z (fractional)
Ba 0.0000 0.0000 0.0000  4 Ba 3.63, 8 Pb 3.71
Sc 0.0000 0.0000 0.5000  8 Pb 3.25, 4 Sc 3.63
Pb 0.5000 0.5000 0.2863  4 Sc 3.25, 4 Pb 3.63
Pb 0.5000 0.5000 0.7137  4 Sc 3.25, 4 Pb 3.63

***

Entry from Alexandria via LeMat-Bulk: an optimized crystal structure of LiMgBe (GGA-PBE).

Output
- ΔH_f (0 K): 0.246 eV/atom
- E_tot: -2.166 eV/atom
- Energy above the most stable polymorph in this dataset: 115 meV per atom
- Spin magnetization: 0.0000 μB/atom

Unit cell a=4.3944 b=4.3944 c=2.6915 alpha=90.00 beta=90.00 gamma=120.00
Last column: nearest neighbours and their distance in Å.
Element x y z (fractional)
Li 0.0000 0.0000 0.0000  3 Be 2.61, 2 Li 2.69, 3 Mg 2.71
Mg 0.3333 0.6667 0.3589  2 Mg 2.69, 3 Li 2.71, 6 Be 2.76-3.00
Be 0.6667 0.3333 0.7649  3 Li 2.61, 2 Be 2.69, 3 Mg 2.76

***

Entry from Alexandria via LeMat-Bulk: an optimized crystal structure of CaZn5 (GGA-PBE).

Output
- ΔH_f (0 K): -0.069 eV/atom
- E_tot: -1.465 eV/atom
- Spin magnetization: 0.0000 μB/atom

Unit cell a=3.3478 b=3.3478 c=9.6971 alpha=90.00 beta=90.00 gamma=90.00
Last column: nearest neighbours and their distance in Å.
Element x y z (fractional)
Ca 0.0000 0.0000 0.0000  10 Zn 3.16-3.46, 4 Ca 3.35
Zn 0.0000 0.0000 0.3564  9 Zn 2.73-2.78
Zn 0.0000 0.0000 0.6436  9 Zn 2.73-2.78
Zn 0.5000 0.5000 0.2155  5 Zn 2.73-2.76
Zn 0.5000 0.5000 0.5000  10 Zn 2.75-2.76
Zn 0.5000 0.5000 0.7845  5 Zn 2.73-2.76

***

Entry from Alexandria via LeMat-Bulk: an optimized crystal structure of AcLaMgTl (GGA-PBE).

Output
- ΔH_f (0 K): -0.245 eV/atom
- E_tot: -3.494 eV/atom
- Spin magnetization: 0.0001 μB/atom

Unit cell a=5.7224 b=5.7224 c=5.7224 alpha=60.00 beta=60.00 gamma=60.00
Last column: nearest neighbours and their distance in Å.
Element x y z (fractional)
Ac 0.0000 0.0000 0.0000  4 Mg 3.50, 4 Tl 3.50
La 0.5000 0.5000 0.5000  4 Mg 3.50, 4 Tl 3.50
Mg 0.7500 0.7500 0.7500  4 La 3.50, 4 Ac 3.50
Tl 0.2500 0.2500 0.2500  4 Ac 3.50, 4 La 3.50

***

DOS(E_F) (states/eV per cell)
2.14; 1.38; 2.72; 4.48